{
  "formula": "Ba4Cu3MoO12",
  "functional": "PBE with a Hubbard U",
  "state": "relaxed",
  "volume_a3_per_atom": 13.314,
  "e_tot_ev_per_atom": -5.925,
  "lattice_angstrom": [[-4.053, 4.053, 4.053], [4.053, -4.053, 4.053], [4.053, 4.053, -4.053]],
  "species": ["Ba", "Ba", "Ba", "Ba", "Cu", "Cu", "Cu", "Mo", "O", "O", "O", "O", "O", "O", "O", "O", "O", "O", "O", "O"],
  "fractional_positions": [[0.500, 0.500, 0.500], [0.500, 0.000, 0.000], [0.000, 0.000, 0.500], [0.000, 0.500, 0.000], [0.500, 0.000, 0.500], [0.500, 0.500, 0.000], [0.000, 0.500, 0.500], [0.000, 0.000, 0.000], [0.500, 0.750, 0.250], [0.240, 0.000, 0.240], [0.760, 0.760, 0.000], [0.240, 0.240, 0.000], [0.000, 0.240, 0.240], [0.760, 0.000, 0.760], [0.000, 0.760, 0.760], [0.500, 0.250, 0.750], [0.750, 0.250, 0.500], [0.250, 0.750, 0.500], [0.250, 0.500, 0.750], [0.750, 0.500, 0.250]]
}